Record 1
VASP calculation (PBE-GGA) on a relaxed Ca2SnPtAu6 crystal. Values from VASP.

Values from the calculation:
- symmetry = No. 225
- E_form (kJ per mole of atoms) = -13

```
&SYSTEM
  ibrav = 0, nat = 10, ntyp = 4
/
ATOMIC_SPECIES
Ca 40.08 Ca.upf
Sn 118.71 Sn.upf
Pt 195.08 Pt.upf
Au 196.97 Au.upf
CELL_PARAMETERS angstrom
0.0000 5.1474 5.1474
5.1474 0.0000 5.1474
5.1474 5.1474 0.0000
ATOMIC_POSITIONS angstrom
Ca 2.5737 2.5737 2.5737
Ca 7.7211 7.7211 7.7211
Sn 0.0000 0.0000 0.0000
Pt 5.1474 5.1474 5.1474
Au 5.1474 5.1474 2.5919
Au 5.1474 2.5919 5.1474
Au 7.7029 5.1474 5.1474
Au 2.5919 5.1474 5.1474
Au 5.1474 7.7029 5.1474
Au 5.1474 5.1474 7.7029
```


Record 2
VASP calculation (PBE-GGA) on a relaxed Tb5Pr2Y3 crystal. Values from VASP.

Values from the calculation:
- symmetry = No. 15
- E_form (kJ per mole of atoms) = 19

```
&SYSTEM
  ibrav = 0, nat = 20, ntyp = 3
/
ATOMIC_SPECIES
Tb 158.93 Tb.upf
Pr 140.91 Pr.upf
Y 88.91 Y.upf
CELL_PARAMETERS angstrom
5.3614 -8.0152 0.0000
5.3614 8.0152 0.0000
-5.3025 0.0000 7.8476
ATOMIC_POSITIONS angstrom
Tb 1.3846 7.5538 5.8857
Tb -1.3285 1.9387 5.6069
Tb 1.3846 4.3912 5.8857
Tb 4.0358 3.6870 1.9619
Tb 1.3228 -1.9387 1.6831
Tb 4.0976 1.9387 6.1644
Tb 1.3846 -3.6870 5.8857
Tb 4.0358 -4.3912 1.9619
Tb 6.7488 -1.9387 2.2407
Tb 4.0358 -7.5538 1.9619
Pr 1.4473 2.0588 3.5388
Pr -1.2040 -2.0588 7.4625
Pr 6.6243 2.0588 0.3850
Pr 3.9731 -2.0588 4.3088
Y 1.4460 1.9531 0.3646
Y -1.2053 -1.9531 4.2884
Y 4.0358 0.3248 1.9619
Y 1.3846 -0.3248 5.8857
Y 6.6256 1.9531 3.5592
Y 3.9744 -1.9531 7.4830
```


Record 3
VASP calculation (PBE-GGA) on a relaxed LiTcPd3 crystal. Values from VASP.

Values from the calculation:
- distance to the lowest polymorph of the same formula (eV/atom) = 0.000
- symmetry = No. 221
- E_form (kJ per mole of atoms) = 51

```
&SYSTEM
  ibrav = 0, nat = 5, ntyp = 3
/
ATOMIC_SPECIES
Li 6.94 Li.upf
Tc 98.00 Tc.upf
Pd 106.42 Pd.upf
CELL_PARAMETERS angstrom
4.2461 0.0000 0.0000
0.0000 4.2461 0.0000
0.0000 0.0000 4.2461
ATOMIC_POSITIONS angstrom
Li 0.0000 0.0000 0.0000
Tc 2.1231 2.1231 2.1231
Pd 0.0000 0.0000 2.1231
Pd 0.0000 2.1231 0.0000
Pd 2.1231 0.0000 0.0000
```


Record 4
VASP calculation (PBE-GGA) on a relaxed Cu3GeF crystal. Values from VASP.

Values from the calculation:
- symmetry = No. 221

```
&SYSTEM
  ibrav = 0, nat = 5, ntyp = 3
/
ATOMIC_SPECIES
Cu 63.55 Cu.upf
Ge 72.64 Ge.upf
F 19.00 F.upf
CELL_PARAMETERS angstrom
4.1544 0.0000 0.0000
0.0000 4.1544 0.0000
0.0000 0.0000 4.1544
ATOMIC_POSITIONS angstrom
Cu 0.0000 0.0000 2.0772
Cu 0.0000 2.0772 0.0000
Cu 2.0772 0.0000 0.0000
Ge 2.0772 2.0772 2.0772
F 0.0000 0.0000 0.0000
```


Record 5
VASP calculation (PBE-GGA) on a relaxed Li5Ca4Au6 crystal. Values from VASP.

Values from the calculation:
- symmetry = No. 36
- E_form (kJ per mole of atoms) = -55

```
&SYSTEM
  ibrav = 0, nat = 30, ntyp = 3
/
ATOMIC_SPECIES
Li 6.94 Li.upf
Ca 40.08 Ca.upf
Au 196.97 Au.upf
CELL_PARAMETERS angstrom
2.1591 -10.2175 0.0000
2.1591 10.2175 0.0000
0.0000 0.0000 15.2331
ATOMIC_POSITIONS angstrom
Li 2.1591 9.0828 7.6166
Li 2.1591 7.2193 12.4312
Li 2.1591 6.8100 1.5098
Li 2.1591 6.3124 6.7183
Li 2.1591 3.2862 6.9887
Li 2.1591 -3.2862 14.6052
Li 2.1591 -6.3124 14.3348
Li 2.1591 -6.8100 9.1264
Li 2.1591 -7.2193 4.8146
Li 2.1591 -9.0828 0.0000
Ca 2.1591 3.7532 11.7606
Ca 2.1591 3.1850 1.9590
Ca 2.1591 0.7868 9.2181
Ca 2.1591 0.3718 5.1365
Ca 2.1591 -0.3718 12.7531
Ca 2.1591 -0.7868 1.6015
Ca 2.1591 -3.1850 9.5756
Ca 2.1591 -3.7532 4.1441
Au 2.1591 9.1166 10.4714
Au 2.1591 8.6744 14.7238
Au 2.1591 8.5950 3.8215
Au 2.1591 4.9140 9.0165
Au 2.1591 4.4489 4.6979
Au 2.1591 2.1992 14.3237
Au 2.1591 -2.1992 6.7071
Au 2.1591 -4.4489 12.3144
Au 2.1591 -4.9140 1.3999
Au 2.1591 -8.5950 11.4380
Au 2.1591 -8.6744 7.1073
Au 2.1591 -9.1166 2.8549
```


Record 6
VASP calculation (PBE-GGA) on a relaxed CeTi crystal. Values from VASP.

Values from the calculation:
- distance to the lowest polymorph of the same formula (eV/atom) = 0.000
- symmetry = No. 11
- E_form (kJ per mole of atoms) = 25

```
&SYSTEM
  ibrav = 0, nat = 4, ntyp = 2
/
ATOMIC_SPECIES
Ce 140.12 Ce.upf
Ti 47.87 Ti.upf
CELL_PARAMETERS angstrom
2.8550 0.0000 0.0000
0.0000 4.4498 0.0000
-1.4230 0.0000 6.8619
ATOMIC_POSITIONS angstrom
Ce -0.0006 1.1124 0.8791
Ce 1.4326 3.3373 5.9828
Ti 0.0026 3.3373 2.9442
Ti 1.4294 1.1124 3.9177
```


Record 7
VASP calculation (PBE-GGA) on a relaxed Sc11Zn9Co4 crystal. Values from VASP.

Values from the calculation:
- symmetry = No. 65
- E_form (kJ per mole of atoms) = -35

```
&SYSTEM
  ibrav = 0, nat = 24, ntyp = 3
/
ATOMIC_SPECIES
Sc 44.96 Sc.upf
Zn 65.41 Zn.upf
Co 58.93 Co.upf
CELL_PARAMETERS angstrom
6.4927 -9.7145 0.0000
6.4927 9.7145 0.0000
0.0000 0.0000 3.3268
ATOMIC_POSITIONS angstrom
Sc 0.0000 0.0000 0.0000
Sc 3.2450 3.2338 0.0000
Sc 6.4927 6.5119 0.0000
Sc 3.8081 0.0000 0.0000
Sc 6.4927 2.6436 0.0000
Sc 3.2450 -3.2338 0.0000
Sc 9.7403 3.2338 0.0000
Sc 6.4927 -2.6436 0.0000
Sc 9.1773 0.0000 0.0000
Sc 6.4927 -6.5119 0.0000
Sc 9.7403 -3.2338 0.0000
Zn 1.8262 1.4320 1.6634
Zn 5.0919 4.6433 1.6634
Zn 1.8262 -1.4320 1.6634
Zn 7.8934 4.6433 1.6634
Zn 6.4927 0.0000 1.6634
Zn 5.0919 -4.6433 1.6634
Zn 11.1591 1.4320 1.6634
Zn 7.8934 -4.6433 1.6634
Zn 11.1591 -1.4320 1.6634
Co 4.6480 1.8365 1.6634
Co 4.6480 -1.8365 1.6634
Co 8.3373 1.8365 1.6634
Co 8.3373 -1.8365 1.6634
```


Record 8
VASP calculation (PBE-GGA) on a relaxed Pm2SmSb2 crystal. Values from VASP.

Values from the calculation:
- symmetry = No. 36

```
&SYSTEM
  ibrav = 0, nat = 10, ntyp = 3
/
ATOMIC_SPECIES
Pm 145.00 Pm.upf
Sm 150.36 Sm.upf
Sb 121.76 Sb.upf
CELL_PARAMETERS angstrom
2.4444 -9.6206 0.0000
2.4444 9.6206 0.0000
0.0000 0.0000 6.4977
ATOMIC_POSITIONS angstrom
Pm 2.4444 9.6127 0.0000
Pm 2.4444 -9.6127 3.2488
Pm 2.4444 5.9406 4.8597
Pm 2.4444 -5.9406 1.6108
Sm 2.4444 2.0048 4.8736
Sm 2.4444 -2.0048 1.6248
Sb 2.4444 5.7861 1.6096
Sb 2.4444 1.4746 1.6207
Sb 2.4444 -1.4746 4.8696
Sb 2.4444 -5.7861 4.8584
```


Raw total energy (eV per atom)
-3.50, -5.02, -5.05, -3.61, -3.05, -6.65, -4.93, -5.40